No. 1
Compound: Tc2AsW
Source: Alexandria via LeMat-Bulk
Functional: PBE
Structure: optimized geometry

Summary:
D(E_F) = 0.7341 states/eV/atom
Total energy = -9.495 eV per atom
Symmetry = Immm (71)

Cell lengths 5.177, 5.177, 5.177 Å; angles 146.30, 128.78, 62.72 degrees
Fractional coordinates of all 4 atoms:
Tc (0.024, 0.024, 0.000)
Tc (0.476, 0.476, 0.000)
As (0.250, 0.750, 0.500)
W (0.750, 0.250, 0.500)



No. 2
Compound: ZrO
Source: Alexandria via LeMat-Bulk
Functional: PBE
Structure: optimized geometry

Summary:
Uncorrected formation energy = -4.27 eV per formula unit
D(E_F) = 0.6936 states/eV/atom
Total energy = -8.886 eV per atom
Symmetry = F-43m (216)

Cell lengths 3.554, 3.554, 3.554 Å; angles 60.00, 60.00, 60.00 degrees
Fractional coordinates of all 2 atoms:
Zr (0.000, 0.000, 0.000)
O (0.250, 0.250, 0.250)



No. 3
Compound: CrBr2Cl
Source: Alexandria via LeMat-Bulk
Functional: PBE
Structure: optimized geometry

Summary:
Excess energy over the best structure of this formula in the dataset = 0 meV/atom
Uncorrected formation energy = -3.08 eV per formula unit
D(E_F) = 0.6563 states/eV/atom
Total energy = -4.475 eV per atom
Symmetry = Cmmm (65)

Cell lengths 3.635, 7.338, 7.338 Å; angles 37.79, 90.00, 90.00 degrees
Last column: magnetic moment on the atom in μB.
Fractional coordinates of all 4 atoms:
Cl (0.500, 0.250, 0.250)  -0.01
Br (0.000, 0.876, 0.876)  -0.05
Br (0.000, 0.624, 0.624)  -0.05
Cr (0.500, 0.750, 0.750)  2.90